A plane-wave DFT calculation with PBE-GGA was carried out for a geometry-optimized SrMg2VN4 structure.

a b c (Å): 7.2324 5.8393 5.5147
angles (deg): 90.00 90.00 90.00
Last column: nearest neighbours and their distance in Å.
Element x y z (fractional)
Sr 0.0000 0.1615 0.0000  4 N 2.49-2.65
Sr 0.5000 0.8385 0.5000  4 N 2.49-2.65
Mg 0.2443 0.3337 0.5134  4 N 2.09-2.17
Mg 0.2557 0.6663 0.0134  4 N 2.09-2.17
Mg 0.7443 0.6663 0.0134  4 N 2.09-2.17
Mg 0.7557 0.3337 0.5134  4 N 2.09-2.17
V 0.0000 0.8063 0.5231  4 N 1.81-1.86
V 0.5000 0.1937 0.0231  4 N 1.81-1.86
N 0.0000 0.1216 0.4792  1 V 1.86
N 0.0000 0.7553 0.8465  1 V 1.81
N 0.1976 0.6663 0.3857  1 V 1.81
N 0.3024 0.3337 0.8857  1 V 1.81
N 0.5000 0.2447 0.3465  1 V 1.81
N 0.5000 0.8784 0.9792  1 V 1.86
N 0.6976 0.3337 0.8857  1 V 1.81
N 0.8024 0.6663 0.3857  1 V 1.81

Output
Fermi-level density of states, states/eV/cell: 8.151


A plane-wave DFT calculation with PBE-GGA was carried out for a geometry-optimized Sr2MgWN4 structure.

a b c (Å): 7.1758 6.1896 5.9858
angles (deg): 90.00 90.00 90.00
Last column: nearest neighbours and their distance in Å.
Element x y z (fractional)
Sr 0.2477 0.2376 0.0000  4 N 2.52-2.77
Sr 0.2523 0.7624 0.5000  4 N 2.52-2.77
Sr 0.7477 0.7624 0.5000  4 N 2.52-2.77
Sr 0.7523 0.2376 0.0000  4 N 2.52-2.77
Mg 0.0000 0.7858 0.9934  4 N 2.07-2.14
Mg 0.5000 0.2142 0.4934  4 N 2.07-2.14
W 0.0000 0.2025 0.4922  4 N 1.88-1.90
W 0.5000 0.7975 0.9922  4 N 1.88-1.90
N 0.0000 0.0047 0.2547  1 W 1.88, 1 Mg 2.07
N 0.0000 0.0236 0.7462  1 W 1.88, 1 Mg 2.09
N 0.2282 0.3572 0.4789  1 W 1.90
N 0.2718 0.6428 0.9789  1 W 1.90
N 0.5000 0.9764 0.2462  1 W 1.88, 1 Mg 2.09
N 0.5000 0.9953 0.7547  1 W 1.88, 1 Mg 2.07
N 0.7282 0.6428 0.9789  1 W 1.90
N 0.7718 0.3572 0.4789  1 W 1.90

Output
Fermi-level density of states, states/eV/cell: 0.000


A plane-wave DFT calculation with PBE-GGA was carried out for a geometry-optimized Sr2MgZnN structure.

a b c (Å): 5.4099 5.4099 4.1959
angles (deg): 90.00 90.00 90.00
Last column: nearest neighbours and their distance in Å.
Element x y z (fractional)
Sr 0.0000 0.5000 0.0000  2 N 2.70
Sr 0.5000 0.0000 0.0000  2 N 2.70
Mg 0.0000 0.0000 0.5000  2 N 2.10
Zn 0.5000 0.5000 0.5000  8 Sr 3.42, 4 Mg 3.83
N 0.0000 0.0000 0.0000  2 Mg 2.10

Output
Fermi-level density of states, states/eV/cell: 4.101


A plane-wave DFT calculation with PBE-GGA was carried out for a geometry-optimized MgTaN2 structure.

a b c (Å): 5.8256 5.8256 5.8256
angles (deg): 131.49 131.49 71.04
Last column: nearest neighbours and their distance in Å.
Element x y z (fractional)
Mg 0.0000 0.0000 0.0000  4 N 2.13
Mg 0.7500 0.2500 0.5000  4 N 2.13
Ta 0.2500 0.7500 0.5000  4 N 2.01
Ta 0.5000 0.5000 0.0000  4 N 2.01
N 0.1477 0.6250 0.0227  2 Ta 2.01, 2 Mg 2.13
N 0.3750 0.3977 0.5227  2 Ta 2.01, 2 Mg 2.13
N 0.6023 0.1250 0.9773  2 Ta 2.01, 2 Mg 2.13
N 0.8750 0.8523 0.4773  2 Ta 2.01, 2 Mg 2.13

Output
Fermi-level density of states, states/eV/cell: 4.476


A plane-wave DFT calculation with PBE-GGA was carried out for a geometry-optimized Mg3TaN structure.

a b c (Å): 5.3941 5.3941 5.3941
angles (deg): 90.00 90.00 90.00
Last column: nearest neighbours and their distance in Å.
Element x y z (fractional)
Mg 0.0000 0.0000 0.5000  2 Ta 2.70
Mg 0.0000 0.5000 0.0000  2 Ta 2.70
Mg 0.5000 0.0000 0.0000  2 Ta 2.70
Ta 0.0000 0.0000 0.0000  6 Mg 2.70
N 0.5000 0.5000 0.5000  12 Mg 3.81

Output
Fermi-level density of states, states/eV/cell: 10.239
ΔE to the lowest computed polymorph, meV/atom: 2051


A plane-wave DFT calculation with PBE-GGA was carried out for a geometry-optimized Mg4TaN4 structure.

a b c (Å): 5.9240 5.9240 6.7141
angles (deg): 90.00 90.00 80.76
Last column: nearest neighbours and their distance in Å.
Element x y z (fractional)
Mg 0.0606 0.6498 0.7500  4 N 2.15-2.19
Mg 0.3451 0.3451 0.0000  4 N 2.11-2.14
Mg 0.3451 0.3451 0.5000  4 N 2.11-2.14
Mg 0.3502 0.9394 0.7500  4 N 2.15-2.19
Mg 0.6498 0.0606 0.2500  4 N 2.15-2.19
Mg 0.6549 0.6549 0.0000  4 N 2.11-2.14
Mg 0.6549 0.6549 0.5000  4 N 2.11-2.14
Mg 0.9394 0.3502 0.2500  4 N 2.15-2.19
Ta 0.1598 0.8402 0.2500  4 N 1.99-2.07
Ta 0.8402 0.1598 0.7500  4 N 1.99-2.07
N 0.1512 0.2760 0.7500  1 Ta 2.07, 4 Mg 2.11-2.19
N 0.2760 0.1512 0.2500  1 Ta 2.07, 4 Mg 2.11-2.19
N 0.2895 0.7105 0.5060  1 Ta 1.99, 4 Mg 2.14-2.19
N 0.2895 0.7105 0.9940  1 Ta 1.99, 4 Mg 2.14-2.19
N 0.7105 0.2895 0.0060  1 Ta 1.99, 4 Mg 2.14-2.19
N 0.7105 0.2895 0.4940  1 Ta 1.99, 4 Mg 2.14-2.19
N 0.7240 0.8488 0.7500  1 Ta 2.07, 4 Mg 2.11-2.19
N 0.8488 0.7240 0.2500  1 Ta 2.07, 4 Mg 2.11-2.19

Output
Fermi-level density of states, states/eV/cell: 0.887


A plane-wave DFT calculation with PBE-GGA was carried out for a geometry-optimized MgTa2N structure.

a b c (Å): 6.6670 6.6670 6.6670
angles (deg): 130.59 130.59 72.47
Last column: nearest neighbours and their distance in Å.
Element x y z (fractional)
Mg 0.0000 0.0000 0.0000  4 Ta 3.06
Mg 0.7500 0.2500 0.5000  4 Ta 3.06
Ta 0.2996 0.6250 0.1746  2 N 1.98
Ta 0.3750 0.5496 0.6746  2 N 1.98
Ta 0.4504 0.1250 0.8254  2 N 1.98
Ta 0.8750 0.7004 0.3254  2 N 1.98
N 0.2500 0.7500 0.5000  4 Ta 1.98
N 0.5000 0.5000 0.0000  4 Ta 1.98

Output
Fermi-level density of states, states/eV/cell: 7.129
ΔE to the lowest computed polymorph, meV/atom: 0


A plane-wave DFT calculation with PBE-GGA was carried out for a geometry-optimized Mg2TaN structure.

a b c (Å): 5.9557 5.9557 5.9557
angles (deg): 97.19 97.19 138.56
Last column: nearest neighbours and their distance in Å.
Element x y z (fractional)
Mg 0.0108 0.6250 0.8858  2 N 2.30
Mg 0.3750 0.2608 0.3858  2 N 2.30
Mg 0.7392 0.1250 0.1142  2 N 2.30
Mg 0.8750 0.9892 0.6142  2 N 2.30
Ta 0.2500 0.7500 0.5000  2 N 2.11
Ta 0.5000 0.5000 0.0000  2 N 2.11
N 0.0000 0.0000 0.0000  2 Ta 2.11, 4 Mg 2.30
N 0.7500 0.2500 0.5000  2 Ta 2.11, 4 Mg 2.30

Output
Fermi-level density of states, states/eV/cell: 7.210


A plane-wave DFT calculation with PBE-GGA was carried out for a geometry-optimized MgTaN2 structure.

a b c (Å): 5.3953 5.3953 5.3953
angles (deg): 132.82 132.82 68.94
Last column: nearest neighbours and their distance in Å.
Element x y z (fractional)
Mg 0.3750 0.6250 0.7500  6 N 2.16-2.21
Mg 0.6250 0.3750 0.2500  6 N 2.16-2.21
Ta 0.1250 0.8750 0.2500  6 N 2.16-2.23
Ta 0.8750 0.1250 0.7500  6 N 2.16-2.23
N 0.1261 0.3761 0.7500  3 Ta 2.16-2.23, 3 Mg 2.16-2.21
N 0.3761 0.1261 0.2500  3 Ta 2.16-2.23, 3 Mg 2.16-2.21
N 0.6239 0.8739 0.7500  3 Ta 2.16-2.23, 3 Mg 2.16-2.21
N 0.8739 0.6239 0.2500  3 Ta 2.16-2.23, 3 Mg 2.16-2.21

Output
Fermi-level density of states, states/eV/cell: 2.403


A plane-wave DFT calculation with PBE-GGA was carried out for a geometry-optimized Mg3TaN structure.

a b c (Å): 4.3580 4.3580 4.3580
angles (deg): 90.00 90.00 90.00
Last column: nearest neighbours and their distance in Å.
Element x y z (fractional)
Mg 0.0000 0.0000 0.5000  2 N 2.18
Mg 0.0000 0.5000 0.0000  2 N 2.18
Mg 0.5000 0.0000 0.0000  2 N 2.18
Ta 0.5000 0.5000 0.5000  12 Mg 3.08
N 0.0000 0.0000 0.0000  6 Mg 2.18

Output
Fermi-level density of states, states/eV/cell: 7.176
ΔE to the lowest computed polymorph, meV/atom: 0


A plane-wave DFT calculation with PBE-GGA was carried out for a geometry-optimized Mg2Ta3N5 structure.

a b c (Å): 8.1918 8.1918 5.3123
angles (deg): 96.04 96.04 141.78
Last column: nearest neighbours and their distance in Å.
Element x y z (fractional)
Mg 0.0514 0.9486 0.7500  6 N 2.12-2.19
Mg 0.2486 0.7514 0.7500  6 N 2.17-2.20
Mg 0.7514 0.2486 0.2500  6 N 2.17-2.20
Mg 0.9486 0.0514 0.2500  6 N 2.12-2.19
Ta 0.1473 0.8527 0.2500  6 N 2.14-2.22
Ta 0.3520 0.6480 0.2500  6 N 2.15-2.22
Ta 0.4556 0.5444 0.7500  6 N 2.17-2.24
Ta 0.5444 0.4556 0.2500  6 N 2.17-2.24
Ta 0.6480 0.3520 0.7500  6 N 2.15-2.22
Ta 0.8527 0.1473 0.7500  6 N 2.14-2.22
N 0.0000 0.5000 0.0000  2 Mg 2.17, 4 Ta 2.22
N 0.1060 0.4055 0.5006  3 Ta 2.15-2.24, 3 Mg 2.19-2.20
N 0.1870 0.2866 0.9989  2 Mg 2.12-2.18, 4 Ta 2.14-2.22
N 0.2866 0.1870 0.4989  2 Mg 2.12-2.18, 4 Ta 2.14-2.22
N 0.4055 0.1060 0.0006  3 Ta 2.15-2.24, 3 Mg 2.19-2.20
N 0.5000 0.0000 0.5000  2 Mg 2.17, 4 Ta 2.22
N 0.5945 0.8940 0.9994  3 Ta 2.15-2.24, 3 Mg 2.19-2.20
N 0.7134 0.8130 0.5011  2 Mg 2.12-2.18, 4 Ta 2.14-2.22
N 0.8130 0.7134 0.0011  2 Mg 2.12-2.18, 4 Ta 2.14-2.22
N 0.8940 0.5945 0.4994  3 Ta 2.15-2.24, 3 Mg 2.19-2.20

Output
Fermi-level density of states, states/eV/cell: 4.136


Here are the calculated uncorrected energy numbers, same order: -6.670; -7.319; -3.239; -8.383; -2.523; -6.501; -8.077; -5.654; -8.622; -4.574; -9.124 (eV per atom).